(1)
LiScO3 GGA-PBE optimized geometry; symmetry = No. 221; total energy = -6.362 eV per atom
1.0
-0.6852 -2.2412 -3.3112
-3.2178 -1.6850 1.8064
-2.3733 2.9317 -1.4931
Sc O Li
1 3 1
Cartesian
0.0000 0.0000 0.0000 Sc
-1.6089 -0.8425 0.9032 O
-1.1867 1.4658 -0.7466 O
-0.3426 -1.1206 -1.6556 O
-3.1382 -0.4972 -1.4990 Li

***

(2)
Li2CaP GGA-PBE optimized geometry; ΔE_f = -0.6335 eV per atom; symmetry = No. 160
1.0
-1.4826 -3.7152 1.3579
-1.2448 -2.9232 -2.7839
3.8285 -4.1391 -0.5717
Ca Li P
1 2 1
Cartesian
0.4171 -2.7500 -0.5019 Ca
3.1409 -3.8613 -0.5580 Li
0.5866 -7.9856 -1.4933 Li
1.3355 -5.7086 -1.0149 P

***

(3)
Rb2BiAuO4 GGA-PBE optimized geometry; symmetry = No. 82; total energy = -4.523 eV per atom
1.0
-1.9550 5.5936 0.4247
-1.5904 -3.3240 4.6597
5.9308 -0.3418 0.0033
Rb Bi Au O
2 1 1 4
Cartesian
-0.6876 0.2184 3.7079 Rb
0.0000 0.0000 0.0000 Rb
2.1702 -1.8329 2.3315 Bi
3.0730 1.7095 1.3798 Au
1.3086 1.7940 2.4675 O
2.7095 -0.2488 0.7996 O
-2.0290 3.6165 2.4565 O
2.7816 -1.3060 4.4518 O

***

(4)
TeRhCl2 GGA-PBE optimized geometry; symmetry = No. 44; offset from the most stable computed form = 202 meV/atom
1.0
-0.9076 1.2376 6.8209
-3.4262 -4.2021 4.4141
5.1845 0.9608 -4.5911
Te Rh Cl
1 1 2
Cartesian
-0.7965 -2.7669 4.2556 Te
-2.2765 -1.5572 5.9017 Rh
-4.0267 -2.7545 10.4391 Cl
1.4499 0.6281 2.9000 Cl

***

(5)
Ba2P2Se GGA-PBE optimized geometry; symmetry = No. 127; total energy = -4.683 eV per atom
1.0
8.2709 0.0000 0.0000
0.0000 8.2709 0.0000
0.0000 0.0000 4.3565
P Ba Se
4 4 2
Cartesian
3.3980 7.5335 0.0000 P
7.5335 4.8729 0.0000 P
4.8729 0.7374 0.0000 P
0.7374 3.3980 0.0000 P
1.6356 5.7710 2.1782 Ba
5.7710 6.6354 2.1782 Ba
6.6354 2.4999 2.1782 Ba
2.4999 1.6356 2.1782 Ba
0.0000 0.0000 0.0000 Se
4.1355 4.1355 0.0000 Se

***

(6)
RbNa2H6Ir GGA-PBE optimized geometry; symmetry = No. 164; total energy = -3.614 eV per atom
1.0
-1.2739 1.3625 -6.6612
-2.8643 -4.4212 -0.3566
-2.3157 4.5424 1.3720
Rb Na H Ir
1 2 6 1
Cartesian
-0.6370 0.6813 -3.3306 Rb
-2.5902 1.6525 0.3169 Na
-3.8638 -0.1688 -5.9626 Na
-2.1938 1.8511 -5.3301 H
-3.4835 4.3810 -4.5659 H
-5.0788 1.9186 -4.7645 H
-2.9704 -2.8973 -1.0798 H
-1.3751 -0.4349 -0.8812 H
-4.2602 -0.3674 -0.3157 H
0.0000 0.0000 0.0000 Ir

***

(7)
Tb2NiAuC GGA-PBE optimized geometry; ΔE_f = -0.5481 eV per atom; symmetry = No. 123
1.0
-0.7362 -1.4785 3.2847
-2.9485 -3.4351 -2.2071
3.9565 -3.0762 -0.4979
Tb Ni Au C
2 1 1 1
Cartesian
1.9782 -1.5381 -0.2489 Tb
-1.4743 -1.7175 -1.1035 Tb
-0.3681 -0.7393 1.6423 Ni
0.1359 -3.9949 0.2899 Au
0.0000 0.0000 0.0000 C

***

(8)
Dy4HgAu2 GGA-PBE optimized geometry; ΔE_f = -0.5660 eV per atom; symmetry = No. 166; offset from the most stable computed form = 0 meV/atom
1.0
4.8526 0.0000 1.5161
2.1895 4.3306 1.5161
-0.0793 -0.0488 8.7781
Au Hg Dy
2 1 4
Cartesian
5.2412 3.2231 8.7965 Au
1.7216 1.0587 3.0137 Au
0.0000 0.0000 0.0000 Hg
6.1113 3.7582 6.0115 Dy
0.8515 0.5236 5.7988 Dy
4.3575 2.6797 3.1007 Dy
2.6052 1.6021 8.7095 Dy

***

(9)
TlVZn3 GGA-PBE optimized geometry; ΔE_f = 0.6549 eV per atom; symmetry = No. 221; offset from the most stable computed form = 0 meV/atom
1.0
-0.2285 -2.7298 4.2129
1.5111 -4.0590 -2.5481
4.7871 1.1510 1.0054
Tl Zn V
1 3 1
Cartesian
3.0349 -2.8189 1.3351 Tl
0.7556 -2.0295 -1.2741 Zn
2.3936 0.5755 0.5027 Zn
-0.1142 -1.3649 2.1064 Zn
0.0000 0.0000 0.0000 V

***

(10)
TaTlAs2 GGA-PBE optimized geometry; ΔE_f = -0.0548 eV per atom; symmetry = No. 8; offset from the most stable computed form = 86 meV/atom
1.0
8.5918 0.0417 -0.0695
7.9398 3.2833 -0.0695
0.7531 0.1515 3.4445
Tl As Ta
1 2 1
Cartesian
3.5009 0.7041 1.0052 Tl
1.0744 0.2161 3.3767 As
14.2315 2.8624 2.1880 As
7.8733 1.5835 1.8329 Ta

***

(11)
CeRhPb2 GGA-PBE optimized geometry; ΔE_f = 0.1345 eV per atom; symmetry = No. 166
1.0
-1.6589 -1.6570 -2.4010
1.6853 -1.8708 -2.2186
-0.8849 -9.6431 4.9211
Pb Rh Ce
2 1 1
Cartesian
-0.6114 -7.0520 2.9440 Pb
-0.2471 -6.1189 -2.6425 Pb
-0.4292 -6.5855 0.1507 Rh
0.0000 0.0000 0.0000 Ce

***

(12)
Ce2ZrIn GGA-PBE optimized geometry; ΔE_f = -0.1831 eV per atom; symmetry = No. 123; offset from the most stable computed form = 0 meV/atom
1.0
-2.3074 -4.1271 1.7320
-0.7067 -1.3665 -4.1976
3.9103 -2.1665 0.0469
Zr Ce In
1 2 1
Cartesian
0.4481 -3.8301 -1.2094 Zr
1.9552 -1.0833 0.0235 Ce
-0.3534 -0.6832 -2.0988 Ce
-1.1537 -2.0636 0.8660 In

***

(13)
Al2AgCl GGA-PBE optimized geometry; symmetry = No. 216; offset from the most stable computed form = 517 meV/atom
1.0
-0.1914 2.9897 3.8621
-3.7658 -0.2571 3.1054
0.6633 -1.7799 4.5037
Al Ag Cl
2 1 1
Cartesian
0.0000 0.0000 0.0000 Al
-0.8235 0.2382 2.8678 Al
-1.6470 0.4764 5.7356 Ag
-2.4705 0.7145 8.6034 Cl

***

(14)
TbHoSc2Tl4 GGA-PBE optimized geometry; ΔE_f = -0.2898 eV per atom; symmetry = No. 166
1.0
5.2359 0.0000 0.0000
2.6179 4.5344 0.0000
2.6179 1.5115 8.5649
Tb Ho Sc Tl
1 1 2 4
Cartesian
5.2359 3.0229 4.2825 Tb
0.0000 0.0000 0.0000 Ho
7.8538 4.5344 6.4268 Sc
2.6179 1.5115 2.1382 Sc
5.2359 3.0229 7.5051 Tl
7.8538 4.5344 3.2001 Tl
2.6179 1.5115 5.3648 Tl
5.2359 3.0229 1.0598 Tl

***

(15)
NpHgI5 GGA-PBE optimized geometry; symmetry = No. 15; total energy = -3.572 eV per atom
1.0
7.8880 1.1517 -2.2313
-2.0945 7.7608 -1.9770
-0.7629 -1.3085 11.7081
Np Hg I
2 2 10
Cartesian
0.0000 0.0000 0.0000 Np
-1.4287 3.2262 4.8656 Np
2.9290 7.2179 -0.2137 Hg
2.1016 0.3861 7.7135 Hg
0.1001 6.3965 -0.3098 I
-0.4170 6.0043 3.9260 I
1.3387 2.7430 6.1167 I
-0.3261 2.2103 2.1508 I
1.2904 0.6285 10.4213 I
3.7402 6.9755 -2.9215 I
5.3567 5.3937 5.3490 I
3.6919 4.8610 1.3831 I
5.4476 1.5998 3.5738 I
4.9305 1.2075 7.8096 I

***

(16)
ReTe3 GGA-PBE optimized geometry; symmetry = No. 166; offset from the most stable computed form = 98 meV/atom
1.0
-10.5183 1.0912 3.4238
-10.8554 -1.7323 1.6453
-9.8314 -1.8724 4.8359
Re Te
1 3
Cartesian
0.0000 0.0000 0.0000 Re
-22.6351 -1.8231 7.1847 Te
-15.6025 -1.2567 4.9525 Te
-8.5700 -0.6903 2.7202 Te

***

(17)
GdYEr GGA-PBE optimized geometry; ΔE_f = 0.0250 eV per atom; symmetry = No. 156; offset from the most stable computed form = 0 meV/atom
1.0
3.5583 0.0000 0.0000
-1.7792 3.0816 0.0000
0.0000 0.0000 8.6944
Y Gd Er
1 1 1
Cartesian
0.0000 0.0000 8.6642 Y
1.7792 1.0272 2.9166 Gd
0.0000 2.0544 5.8081 Er

***

(18)
Cs2NpAsSe4 GGA-PBE optimized geometry; symmetry = No. 15; total energy = -4.921 eV per atom
1.0
-8.5441 -2.2583 -0.8352
2.2735 -6.6487 -5.4244
3.3695 -0.1569 8.0926
Cs Np As Se
4 2 2 8
Cartesian
-4.2720 -1.1292 -0.4176 Cs
-2.5873 -1.2076 3.6287 Cs
1.6848 -0.0785 4.0463 Cs
-3.1353 -4.4535 -3.1298 Cs
1.1367 -3.3244 -2.7122 Np
-5.7226 -5.6610 0.4988 Np
-1.4505 -4.5320 0.9165 As
-5.1745 -2.4151 7.2574 As
3.3345 -5.3545 3.4722 Se
-3.9588 -4.0282 2.1559 Se
1.0577 -5.0357 -0.3229 Se
-6.2357 -3.7095 -1.6392 Se
-1.8321 -6.9775 3.2493 Se
-3.0827 -6.3897 -0.2609 Se
0.1816 -2.6742 2.0938 Se
-1.0689 -2.0864 -1.4163 Se

***

(19)
MnOsRh2 GGA-PBE optimized geometry; ΔE_f = 0.1622 eV per atom; symmetry = No. 44; offset from the most stable computed form = 184 meV/atom
1.0
5.2903 0.0088 0.0068
2.7248 4.5346 -0.0068
-3.4725 -3.2156 2.3641
Mn Os Rh
1 1 2
Cartesian
3.9726 2.2519 0.0000 Mn
1.8488 1.9194 1.1787 Os
0.0383 0.0217 0.0000 Rh
2.6904 -0.5935 1.1855 Rh

***

(20)
NaNd2Th3Te6 GGA-PBE optimized geometry; symmetry = No. 12; total energy = -5.504 eV per atom
1.0
4.3865 0.0000 0.0000
0.0000 9.1591 0.0615
-2.1932 -2.9182 9.4769
Na Nd Th Te
1 2 3 6
Cartesian
2.1932 0.0000 0.0000 Na
2.1932 4.1622 6.2784 Nd
0.0000 2.0787 3.2599 Nd
2.1932 4.5795 0.0307 Th
2.1932 -0.4056 6.2472 Th
0.0000 6.6464 3.2912 Th
0.0000 6.4581 6.4846 Te
2.1932 4.3512 3.1634 Te
2.1932 -0.2173 3.0538 Te
2.1932 -0.6608 9.4782 Te
0.0000 6.9017 0.0601 Te
0.0000 1.8896 6.3749 Te

***

(21)
Cs6Se2O GGA-PBE optimized geometry; symmetry = No. 14; total energy = -2.928 eV per atom
1.0
-5.0080 3.8995 4.6042
-7.6055 -0.2328 -8.3980
-3.2504 -7.9089 3.1629
Cs Se O
12 4 2
Cartesian
-6.1047 -0.0353 -5.7687 Cs
-5.1913 -1.7848 -2.1439 Cs
-2.4648 -1.9565 1.5753 Cs
-7.6937 -5.5820 0.2759 Cs
-4.6341 -4.9432 3.6709 Cs
-9.5795 -2.6755 -2.8019 Cs
-9.7593 -4.2069 5.1379 Cs
-10.6727 -2.4573 1.5130 Cs
-13.3992 -2.2856 -2.2061 Cs
-8.1703 1.3399 -0.9067 Cs
-11.2299 0.7011 -4.3017 Cs
-6.2844 -1.5666 2.1711 Cs
-4.0438 -4.6525 -0.1238 Se
-4.5129 1.0112 0.4164 Se
-11.3510 -5.2533 -1.0472 Se
-11.8201 0.4104 -0.5070 Se
-4.1292 -2.0047 3.8836 O
-3.8028 -0.1164 -4.1990 O

***

(22)
CaCeTlSn GGA-PBE optimized geometry; ΔE_f = -0.4628 eV per atom; symmetry = No. 47; offset from the most stable computed form = 0 meV/atom
1.0
-0.5616 -4.3006 -0.5905
1.8355 0.4089 -4.7242
4.8219 -0.8765 1.7976
Ca Ce Tl Sn
1 1 1 1
Cartesian
2.1302 -2.5885 0.6036 Ca
0.6370 -1.9458 -2.6573 Ce
3.3287 -0.2338 -1.4633 Tl
0.0000 0.0000 0.0000 Sn

***

(23)
VCrSn2Sb GGA-PBE optimized geometry; symmetry = No. 123; total energy = -4.945 eV per atom
1.0
-4.3736 0.8633 3.5638
-2.5573 -3.7158 -2.2383
2.2460 -3.7540 3.6658
Sb V Sn Cr
1 1 2 1
Cartesian
0.0000 0.0000 0.0000 Sb
-1.2787 -1.8579 -1.1191 V
1.1230 -1.8770 1.8329 Sn
-2.1868 0.4317 1.7819 Sn
-2.3425 -3.3032 2.4956 Cr

***

(24)
KRuRh GGA-PBE optimized geometry; ΔE_f = 0.6820 eV per atom; symmetry = No. 1; offset from the most stable computed form = 198 meV/atom
1.0
-5.0913 5.5959 -3.5380
-2.1388 -1.6359 0.6870
0.8540 3.3762 5.0697
Ru K Rh
2 2 2
Cartesian
-2.5219 0.3472 0.7983 Ru
-5.2678 5.1779 -2.8696 Ru
-3.3742 3.5629 -0.8027 K
-1.9015 2.7718 2.9672 K
-6.2799 5.1434 -0.4819 Rh
-4.6622 6.1432 1.3100 Rh

***

(25)
Sr3LiY2Te6 GGA-PBE optimized geometry; symmetry = No. 12; total energy = -4.733 eV per atom
1.0
7.8445 0.0007 -0.0001
-3.9198 6.7950 -0.0001
-1.3094 -2.2672 7.4610
Sr Li Y Te
3 1 2 6
Cartesian
-2.6144 4.5294 3.7304 Sr
5.2297 -0.0009 3.7304 Sr
1.3077 2.2642 3.7304 Sr
0.0000 0.0000 0.0000 Li
0.0032 4.5293 -0.0001 Y
3.9215 2.2663 -0.0001 Y
3.9192 2.2696 5.7632 Te
2.6194 4.5355 1.6975 Te
-1.3039 2.2589 1.6975 Te
0.0072 4.5289 5.7632 Te
-0.0040 -0.0070 5.7633 Te
2.6082 -0.0005 1.6975 Te

***

Number 1: V 13.4 Å³ per atom. Number 2: V 19.8 Å³ per atom. Number 3: V 20.0 Å³ per atom. Number 4: V 30.3 Å³ per atom. Number 5: V 29.8 Å³ per atom. Number 6: V 16.7 Å³ per atom. Number 7: V 18.7 Å³ per atom. Number 8: V 26.5 Å³ per atom. Number 9: V 25.4 Å³ per atom. Number 10: V 24.1 Å³ per atom. Number 11: V 26.1 Å³ per atom. Number 12: V 25.2 Å³ per atom. Number 13: V 20.6 Å³ per atom. Number 14: V 25.4 Å³ per atom. Number 15: V 50.5 Å³ per atom. Number 16: V 26.7 Å³ per atom. Number 17: V 31.8 Å³ per atom. Number 18: V 33.2 Å³ per atom. Number 19: V 14.1 Å³ per atom. Number 20: V 31.8 Å³ per atom. Number 21: V 45.0 Å³ per atom. Number 22: V 29.0 Å³ per atom. Number 23: V 32.8 Å³ per atom. Number 24: V 23.1 Å³ per atom. Number 25: V 33.1 Å³ per atom.